1.
Material: Ac4Sm3ThSe8
Method: DFT, PBE
State: relaxed

a = 8.5880 Å, b = 8.5880 Å, c = 21.4422 Å
α = 90.00°, β = 90.00°, γ = 120.00°
Space group R-3m (No. 166, hexagonal axes)
Inequivalent atoms, fractional coordinates:
Ac 0.0000 0.0000 0.0000 [3 per cell]
Ac 0.0000 0.5000 0.0000 [9 per cell]
Sm 0.0000 0.5000 0.5000 [9 per cell]
Th 0.0000 0.0000 0.5000 [3 per cell]
Se 0.0000 0.0000 0.2432 [6 per cell]
Se 0.0016 0.5008 0.7565 [18 per cell]

Computed properties:
- crystal system = trigonal
- raw formation energy (eV per formula unit) = -28.67

2.
Material: DyInCo
Method: DFT, PBE
State: relaxed

a = 4.5003 Å, b = 4.5003 Å, c = 3.6282 Å
α = 90.00°, β = 90.00°, γ = 120.00°
Space group P-6m2 (No. 187)
Inequivalent atoms, fractional coordinates:
Dy 0.0000 0.0000 0.0000 [1 per cell]
In 0.3333 0.6667 0.5000 [1 per cell]
Co 0.6667 0.3333 0.5000 [1 per cell]

Computed properties:
- crystal system = hexagonal
- E_form (eV per atom) = -0.14

3.
Material: LaBeAu6
Method: DFT, PBE
State: relaxed

a = 4.085 Å, b = 4.085 Å, c = 9.623 Å
α = 90.00°, β = 90.00°, γ = 90.00°
Space group P4/mmm (No. 123)
Inequivalent atoms, fractional coordinates:
La 0.000 0.000 0.000 [1 per cell]
Be 0.000 0.000 0.500 [1 per cell]
Au 0.000 0.500 0.351 [4 per cell]
Au 0.500 0.500 0.142 [2 per cell]

Computed properties:
- crystal system = tetragonal
- E_form (eV per atom) = -0.35

4.
Material: LaCu2Pb2
Method: DFT, PBE
State: relaxed

a = 7.725 Å, b = 7.725 Å, c = 3.962 Å
α = 90.00°, β = 90.00°, γ = 90.00°
Space group P4/mbm (No. 127)
Inequivalent atoms, fractional coordinates:
La 0.000 0.000 0.000 [2 per cell]
Cu 0.112 0.388 0.000 [4 per cell]
Pb 0.180 0.680 0.500 [4 per cell]

Computed properties:
- crystal system = tetragonal
- E_form (eV per atom) = -0.08

5.
Material: Ho2Ga5Fe
Method: DFT, PBE
State: relaxed

a = 6.091 Å, b = 6.091 Å, c = 8.380 Å
α = 90.00°, β = 90.00°, γ = 90.00°
Space group I4mm (No. 107)
Inequivalent atoms, fractional coordinates:
Ho 0.000 0.500 0.000 [4 per cell]
Ga 0.000 0.000 0.001 [2 per cell]
Ga 0.217 0.217 0.752 [8 per cell]
Fe 0.000 0.000 0.294 [2 per cell]

Computed properties:
- crystal system = tetragonal
- E_form (eV per atom) = -0.36

6.
Material: Y2Mg2Te
Method: DFT, PBE
State: relaxed

a = 7.887 Å, b = 7.887 Å, c = 4.960 Å
α = 90.00°, β = 90.00°, γ = 90.00°
Space group P4/mbm (No. 127)
Inequivalent atoms, fractional coordinates:
Y 0.158 0.342 0.000 [4 per cell]
Mg 0.136 0.636 0.500 [4 per cell]
Te 0.000 0.000 0.000 [2 per cell]

Computed properties:
- crystal system = tetragonal
- raw formation energy (eV per formula unit) = -1.69
- relative energy among the computed polymorphs (eV per formula unit) = 0.00

7.
Material: Rb4BaTa3O12
Method: DFT, PBE
State: relaxed

a = 8.628 Å, b = 8.628 Å, c = 8.628 Å
α = 90.00°, β = 90.00°, γ = 90.00°
Space group Im-3m (No. 229)
Inequivalent atoms, fractional coordinates:
Rb 0.250 0.250 0.250 [8 per cell]
Ba 0.000 0.000 0.000 [2 per cell]
Ta 0.000 0.000 0.500 [6 per cell]
O 0.000 0.000 0.282 [12 per cell]
O 0.000 0.250 0.500 [12 per cell]

Computed properties:
- crystal system = cubic
- raw formation energy (eV per formula unit) = -42.19

8.
Material: LiB2C2
Method: DFT, PBE
State: relaxed

a = 2.7239 Å, b = 2.7239 Å, c = 26.4577 Å
α = 90.00°, β = 90.00°, γ = 120.00°
Space group P3m1 (No. 156)
Inequivalent atoms, fractional coordinates:
Li 0.0000 0.0000 0.0000 [1 per cell]
Li 0.0000 0.0000 0.1345 [1 per cell]
Li 0.0000 0.0000 0.4846 [1 per cell]
Li 0.0000 0.0000 0.7514 [1 per cell]
B 0.3333 0.6667 0.2035 [1 per cell]
B 0.3333 0.6667 0.4183 [1 per cell]
B 0.3333 0.6667 0.6845 [1 per cell]
B 0.3333 0.6667 0.9328 [1 per cell]
B 0.6667 0.3333 0.0684 [1 per cell]
B 0.6667 0.3333 0.2922 [1 per cell]
B 0.6667 0.3333 0.5511 [1 per cell]
B 0.6667 0.3333 0.8194 [1 per cell]
C 0.3333 0.6667 0.0687 [1 per cell]
C 0.3333 0.6667 0.2929 [1 per cell]
C 0.3333 0.6667 0.5491 [1 per cell]
C 0.3333 0.6667 0.8172 [1 per cell]
C 0.6667 0.3333 0.2007 [1 per cell]
C 0.6667 0.3333 0.4204 [1 per cell]
C 0.6667 0.3333 0.6866 [1 per cell]
C 0.6667 0.3333 0.9354 [1 per cell]

Computed properties:
- crystal system = trigonal
- relative energy among the computed polymorphs (eV per formula unit) = 0.37
- E_form (eV per atom) = 0.00

9.
Material: Cu3Ni
Method: DFT, PBE
State: relaxed

a = 2.5361 Å, b = 2.5361 Å, c = 24.9984 Å
α = 90.00°, β = 90.00°, γ = 120.00°
Space group R-3m (No. 166, hexagonal axes)
Inequivalent atoms, fractional coordinates:
Cu 0.0000 0.0000 0.0000 [3 per cell]
Cu 0.0000 0.0000 0.2488 [6 per cell]
Ni 0.0000 0.0000 0.5000 [3 per cell]

Computed properties:
- crystal system = trigonal
- E_form (eV per atom) = 0.01

10.
Material: LuTiTlAg
Method: DFT, PBE
State: relaxed

a = 7.018 Å, b = 7.018 Å, c = 7.018 Å
α = 90.00°, β = 90.00°, γ = 90.00°
Space group F-43m (No. 216)
Inequivalent atoms, fractional coordinates:
Lu 0.000 0.000 0.000 [4 per cell]
Ti 0.000 0.000 0.500 [4 per cell]
Tl 0.250 0.250 0.750 [4 per cell]
Ag 0.250 0.250 0.250 [4 per cell]

Computed properties:
- crystal system = cubic
- E_form (eV per atom) = -0.05

11.
Material: BaCSe2
Method: DFT, PBE
State: relaxed

a = 5.2598 Å, b = 5.2598 Å, c = 19.4223 Å
α = 90.00°, β = 90.00°, γ = 120.00°
Space group R-3m (No. 166, hexagonal axes)
Inequivalent atoms, fractional coordinates:
Ba 0.0000 0.0000 0.0000 [3 per cell]
C 0.0000 0.0000 0.5000 [3 per cell]
Se 0.0000 0.0000 0.4065 [6 per cell]

Computed properties:
- crystal system = trigonal
- raw formation energy (eV per formula unit) = 0.56

12.
Material: PrZn2GaRh2
Method: DFT, PBE
State: relaxed

a = 4.580 Å, b = 4.580 Å, c = 5.751 Å
α = 90.00°, β = 90.00°, γ = 90.00°
Space group P4/mmm (No. 123)
Inequivalent atoms, fractional coordinates:
Pr 0.000 0.000 0.000 [1 per cell]
Zn 0.500 0.500 0.242 [2 per cell]
Ga 0.000 0.000 0.500 [1 per cell]
Rh 0.000 0.500 0.500 [2 per cell]

Computed properties:
- crystal system = tetragonal
- E_form (eV per atom) = -0.25